[1]
Density functional theory data (PBE) for K2HgP2Se6 after structural relaxation.

It has space group P2_1/c (No. 14), with a = 13.279 Å, b = 7.406 Å, c = 14.609 Å, α = 90.00°, β = 110.77° and γ = 90.00°. The asymmetric unit holds K at (0.095, 0.042, 0.379), K at (0.402, 0.054, 0.283), Hg at (0.258, 0.612, 0.522), P at (0.040, 0.038, 0.083), P at (0.482, 0.612, 0.440), Se at (0.089, 0.510, 0.354), Se at (0.113, 0.196, 0.601), Se at (0.159, 0.685, 0.649), Se at (0.359, 0.220, 0.054), Se at (0.383, 0.509, 0.298) and Se at (0.402, 0.666, 0.996).

Its total energy is -3.644 eV per atom. The value obtained for the mass density is 4.03 g/cm³.



[2]
Density functional theory data (PBE) for BaDyB4 after structural relaxation.

It has space group Immm (No. 71), with a = 3.159 Å, b = 7.763 Å, c = 7.965 Å, α = 90.00°, β = 90.00° and γ = 90.00°. The asymmetric unit holds Ba at (0.000, 0.000, 0.000), Dy at (0.000, 0.000, 0.500) and B at (0.000, 0.268, 0.248).

For the excess energy over the best structure of this formula in the dataset, the calculation gives 0 meV/atom. Its total energy is -5.625 eV per atom. The value obtained for the mass density is 5.83 g/cm³.



[3]
Density functional theory data (PBE) for La2Ho2CBr5 after structural relaxation.

It has space group C2/m (No. 12), with a = 18.178 Å, b = 3.937 Å, c = 8.650 Å, α = 90.00°, β = 102.71° and γ = 90.00°. The asymmetric unit holds La at (0.001, 0.000, 0.293), Ho at (0.136, 0.500, 0.568), C at (0.000, 0.500, 0.500), Br at (0.000, 0.500, 0.000), Br at (0.170, 0.000, 0.814) and Br at (0.176, 0.000, 0.354).

For the excess energy over the best structure of this formula in the dataset, the calculation gives 0 meV/atom. Its total energy is -5.107 eV per atom. The value obtained for the mass density is 5.61 g/cm³.



The lowest mass density belongs to which entry? K2HgP2Se6



What is the formula in the first record? K2HgP2Se6



The lowest mass density belongs to which entry? K2HgP2Se6



Among the records above, which one has the lowest mass density? K2HgP2Se6